A geometry-optimized UPd3Au structure. Source: Alexandria, functional PBE.

- ΔE to the lowest computed polymorph (eV per atom) = 0.000
- total moment (Bohr magnetons per cell) = 3.885
- energy of formation from the pure elements (eV/atom) = -0.17

The structure in extended XYZ format:
```
10
Lattice="2.648 -6.994 0.000 2.648 6.994 0.000 0.000 0.000 5.194" Properties=species:S:1:pos:R:3 pbc="T T T"
U 2.648 4.424 3.896
U 2.648 -4.424 1.299
Pd 0.000 0.000 0.000
Pd 0.000 0.000 2.597
Pd 1.348 2.038 3.896
Pd 1.348 -2.038 1.299
Pd 3.948 2.038 3.896
Pd 3.948 -2.038 1.299
Au 2.648 0.860 1.299
Au 2.648 -0.860 3.896
```